No. 1
Crystalline LaBeRe2 at its relaxed geometry. Source: the Alexandria database, functional PBE.

a b c (Å): 5.196 5.196 5.196
angles (deg): 134.51 134.51 66.29
Element x y z (fractional)
Re 0.500 0.500 0.000
La 0.750 0.250 0.500
Re 0.000 0.000 0.000
Be 0.250 0.750 0.500

Computed properties:
* total DFT energy (no corrections): -7.457 eV per atom
* volume: 70 Å³/cell
* magnetization: 0.0 μB per cell
* formation energy: 0.930 eV/atom
* ρ: 12.30 g/cm3


No. 2
Crystalline Li3As4Pd4 at its relaxed geometry. Source: the Alexandria database, functional PBE.

a b c (Å): 4.407 2.981 13.658
angles (deg): 96.26 99.28 90.00
Element x y z (fractional)
Pd 0.729 0.729 0.459
As 0.816 0.316 0.632
As 0.548 0.548 0.095
As 0.184 0.684 0.368
As 0.452 0.452 0.905
Li 0.360 0.860 0.720
Li 0.640 0.140 0.280
Li 0.000 0.000 0.000
Pd 0.909 0.409 0.819
Pd 0.091 0.591 0.181
Pd 0.271 0.271 0.541

Computed properties:
* total DFT energy (no corrections): -4.566 eV per atom
* volume: 176 Å³/cell
* magnetization: 0.0 μB per cell
* formation energy: -0.465 eV/atom
* ρ: 7.04 g/cm3


No. 3
Crystalline YNb4Ga4 at its relaxed geometry. Source: the Alexandria database, functional PBE.

a b c (Å): 5.083 8.335 8.335
angles (deg): 90.00 90.00 90.00
Element x y z (fractional)
Ga 0.091 0.269 0.369
Ga 0.591 0.869 0.231
Ga 0.909 0.631 0.269
Nb 0.116 0.914 0.370
Ga 0.591 0.131 0.769
Nb 0.616 0.870 0.586
Y 0.500 0.500 0.500
Ga 0.091 0.731 0.631
Nb 0.884 0.370 0.086
Nb 0.616 0.130 0.414
Nb 0.884 0.630 0.914
Ga 0.909 0.369 0.731
Ga 0.409 0.231 0.131
Nb 0.384 0.586 0.130
Ga 0.409 0.769 0.869
Y 0.000 0.000 0.000
Nb 0.116 0.086 0.630
Nb 0.384 0.414 0.870

Computed properties:
* total DFT energy (no corrections): -6.602 eV per atom
* volume: 353 Å³/cell
* magnetization: 0.0 μB per cell
* formation energy: -0.063 eV/atom
* ρ: 6.95 g/cm3


No. 4
Crystalline YTmTlPt at its relaxed geometry. Source: the Alexandria database, functional PBE.

a b c (Å): 5.123 5.123 5.123
angles (deg): 60.00 60.00 60.00
Element x y z (fractional)
Y 0.250 0.250 0.250
Tm 0.750 0.750 0.750
Pt 0.500 0.500 0.500
Tl 0.000 0.000 0.000

Computed properties:
* total DFT energy (no corrections): -5.545 eV per atom
* volume: 95 Å³/cell
* magnetization: 0.0 μB per cell
* formation energy: -0.709 eV/atom
* ρ: 11.48 g/cm3


No. 5
Crystalline NiP2 at its relaxed geometry. Source: the Alexandria database, functional PBE.

a b c (Å): 3.151 3.151 9.088
angles (deg): 90.00 90.00 120.00
Element x y z (fractional)
P 0.667 0.333 0.087
Ni 0.000 0.000 0.250
Ni 0.000 0.000 0.750
P 0.333 0.667 0.913
P 0.667 0.333 0.413
P 0.333 0.667 0.587

Computed properties:
* total DFT energy (no corrections): -5.570 eV per atom
* volume: 78 Å³/cell
* magnetization: 0.0 μB per cell
* formation energy: -0.037 eV/atom
* ρ: 5.13 g/cm3


No. 6
Crystalline Pa2TlZn at its relaxed geometry. Source: the Alexandria database, functional PBE.

a b c (Å): 3.191 3.191 10.881
angles (deg): 81.57 81.57 60.00
Element x y z (fractional)
Tl 0.500 0.500 0.500
Pa 0.256 0.256 0.233
Pa 0.744 0.744 0.767
Zn 0.000 0.000 0.000

Computed properties:
* total DFT energy (no corrections): -5.581 eV per atom
* volume: 95 Å³/cell
* E above lowest polymorph: 0 meV per atom
* magnetization: 0.0 μB per cell
* formation energy: 0.077 eV/atom
* ρ: 12.85 g/cm3